{
  "formula": "MgB2Se",
  "functional": "GGA-PBEsol",
  "state": "optimized geometry",
  "n_ef_per_ev_atom": 0.4533,
  "formation_energy_uncorrected_kj_per_mol_fu": 514,
  "magmom_total_mub_per_fu": 0.00,
  "lattice_angstrom": [[5.907, 0.000, 0.000], [0.000, 5.907, 0.000], [0.000, 0.000, 5.907]],
  "species": ["Mg", "Mg", "Mg", "Mg", "B", "B", "B", "B", "B", "B", "B", "B", "Se", "Se", "Se", "Se"],
  "frac_coords": [[0.000, 0.000, 0.000], [0.000, 0.500, 0.500], [0.500, 0.000, 0.500], [0.500, 0.500, 0.000], [0.250, 0.250, 0.250], [0.250, 0.250, 0.750], [0.250, 0.750, 0.250], [0.250, 0.750, 0.750], [0.750, 0.250, 0.250], [0.750, 0.250, 0.750], [0.750, 0.750, 0.250], [0.750, 0.750, 0.750], [0.000, 0.000, 0.500], [0.000, 0.500, 0.000], [0.500, 0.000, 0.000], [0.500, 0.500, 0.500]]
}

{
  "formula": "BaScMo",
  "functional": "GGA-PBEsol",
  "state": "optimized geometry",
  "formation_enthalpy_0k_kj_per_mol_fu": 247,
  "n_ef_per_ev_atom": 1.4015,
  "magmom_total_mub_per_fu": 0.78,
  "lattice_angstrom": [[3.344, 0.000, 0.000], [-1.672, 2.896, 0.000], [0.000, 0.000, 7.883]],
  "species": ["Ba", "Sc", "Mo"],
  "frac_coords": [[0.000, 0.000, 0.000], [0.667, 0.333, 0.432], [0.333, 0.667, 0.676]]
}

{
  "formula": "Zr2TcNi",
  "functional": "GGA-PBEsol",
  "state": "optimized geometry",
  "formation_enthalpy_0k_kj_per_mol_fu": -158,
  "n_ef_per_ev_atom": 0.8188,
  "magmom_total_mub_per_fu": 0.00,
  "lattice_angstrom": [[3.252, 0.000, 0.000], [0.000, 3.252, 0.000], [0.000, 0.000, 6.264]],
  "species": ["Zr", "Zr", "Tc", "Ni"],
  "frac_coords": [[0.000, 0.000, 0.250], [0.000, 0.000, 0.750], [0.500, 0.500, 0.000], [0.500, 0.500, 0.500]]
}

{
  "formula": "K2SbAu",
  "functional": "GGA-PBEsol",
  "state": "optimized geometry",
  "n_ef_per_ev_atom": 0.2898,
  "formation_energy_uncorrected_kj_per_mol_fu": -55,
  "magmom_total_mub_per_fu": 0.00,
  "lattice_angstrom": [[4.554, 0.000, 0.000], [0.000, 4.554, 0.000], [0.000, 0.000, 5.206]],
  "species": ["K", "K", "Sb", "Au"],
  "frac_coords": [[0.000, 0.500, 0.000], [0.500, 0.000, 0.000], [0.000, 0.000, 0.500], [0.500, 0.500, 0.500]]
}

{
  "formula": "MgTl2In",
  "functional": "GGA-PBEsol",
  "state": "optimized geometry",
  "formation_enthalpy_0k_kj_per_mol_fu": -2,
  "n_ef_per_ev_atom": 0.5116,
  "magmom_total_mub_per_fu": 0.00,
  "lattice_angstrom": [[3.394, 0.000, 0.000], [-1.697, 2.939, 0.000], [0.000, 0.000, 30.933]],
  "species": ["Mg", "Mg", "Mg", "Tl", "Tl", "Tl", "Tl", "Tl", "Tl", "In", "In", "In"],
  "frac_coords": [[0.000, 0.000, 0.000], [0.333, 0.667, 0.667], [0.667, 0.333, 0.333], [0.000, 0.000, 0.253], [0.000, 0.000, 0.747], [0.333, 0.667, 0.414], [0.333, 0.667, 0.919], [0.667, 0.333, 0.081], [0.667, 0.333, 0.586], [0.000, 0.000, 0.500], [0.333, 0.667, 0.167], [0.667, 0.333, 0.833]]
}

{
  "formula": "TbSnRu2",
  "functional": "GGA-PBEsol",
  "state": "optimized geometry",
  "formation_enthalpy_0k_kj_per_mol_fu": -122,
  "n_ef_per_ev_atom": 1.2429,
  "magmom_total_mub_per_fu": 0.00,
  "lattice_angstrom": [[6.515, 0.000, 0.000], [0.000, 6.515, 0.000], [0.000, 0.000, 6.515]],
  "species": ["Tb", "Tb", "Tb", "Tb", "Sn", "Sn", "Sn", "Sn", "Ru", "Ru", "Ru", "Ru", "Ru", "Ru", "Ru", "Ru"],
  "frac_coords": [[0.000, 0.000, 0.000], [0.000, 0.500, 0.500], [0.500, 0.000, 0.500], [0.500, 0.500, 0.000], [0.000, 0.000, 0.500], [0.000, 0.500, 0.000], [0.500, 0.000, 0.000], [0.500, 0.500, 0.500], [0.250, 0.250, 0.250], [0.250, 0.250, 0.750], [0.250, 0.750, 0.250], [0.250, 0.750, 0.750], [0.750, 0.250, 0.250], [0.750, 0.250, 0.750], [0.750, 0.750, 0.250], [0.750, 0.750, 0.750]]
}

{
  "formula": "TeAs",
  "functional": "GGA-PBEsol",
  "state": "optimized geometry",
  "n_ef_per_ev_atom": 0.4604,
  "formation_energy_uncorrected_kj_per_mol_fu": 13,
  "magmom_total_mub_per_fu": 0.00,
  "lattice_angstrom": [[5.847, 0.000, 0.000], [0.000, 5.847, 0.000], [0.000, 0.000, 5.847]],
  "species": ["Te", "Te", "Te", "Te", "As", "As", "As", "As"],
  "frac_coords": [[0.000, 0.000, 0.000], [0.000, 0.500, 0.500], [0.500, 0.000, 0.500], [0.500, 0.500, 0.000], [0.000, 0.000, 0.500], [0.000, 0.500, 0.000], [0.500, 0.000, 0.000], [0.500, 0.500, 0.500]]
}

{
  "formula": "Cu2SbW",
  "functional": "GGA-PBEsol",
  "state": "optimized geometry",
  "n_ef_per_ev_atom": 0.5732,
  "formation_energy_uncorrected_kj_per_mol_fu": 219,
  "magmom_total_mub_per_fu": 0.00,
  "lattice_angstrom": [[2.938, 0.000, 0.000], [-1.469, 2.544, 0.000], [0.000, 0.000, 25.336]],
  "species": ["Cu", "Cu", "Cu", "Cu", "Cu", "Cu", "Sb", "Sb", "Sb", "W", "W", "W"],
  "frac_coords": [[0.000, 0.000, 0.000], [0.000, 0.000, 0.261], [0.333, 0.667, 0.667], [0.333, 0.667, 0.928], [0.667, 0.333, 0.333], [0.667, 0.333, 0.595], [0.000, 0.000, 0.756], [0.333, 0.667, 0.423], [0.667, 0.333, 0.089], [0.000, 0.000, 0.515], [0.333, 0.667, 0.182], [0.667, 0.333, 0.849]]
}

{
  "formula": "K2PrI5",
  "functional": "GGA-PBEsol",
  "state": "optimized geometry",
  "n_ef_per_ev_atom": 0.0000,
  "formation_energy_uncorrected_kj_per_mol_fu": -1127,
  "magmom_total_mub_per_fu": 0.00,
  "lattice_angstrom": [[14.135, 0.000, 0.000], [0.000, 9.741, 0.000], [0.000, 0.000, 9.030]],
  "species": ["K", "K", "K", "K", "K", "K", "K", "K", "Pr", "Pr", "Pr", "Pr", "I", "I", "I", "I", "I", "I", "I", "I", "I", "I", "I", "I", "I", "I", "I", "I", "I", "I", "I", "I"],
  "frac_coords": [[0.173, 0.005, 0.066], [0.173, 0.495, 0.066], [0.327, 0.505, 0.566], [0.327, 0.995, 0.566], [0.673, 0.005, 0.434], [0.673, 0.495, 0.434], [0.827, 0.505, 0.934], [0.827, 0.995, 0.934], [0.007, 0.250, 0.583], [0.493, 0.750, 0.083], [0.507, 0.250, 0.917], [0.993, 0.750, 0.417], [0.006, 0.250, 0.938], [0.075, 0.548, 0.673], [0.075, 0.952, 0.673], [0.187, 0.250, 0.375], [0.211, 0.750, 0.341], [0.289, 0.250, 0.841], [0.313, 0.750, 0.875], [0.425, 0.048, 0.173], [0.425, 0.452, 0.173], [0.494, 0.750, 0.438], [0.506, 0.250, 0.562], [0.575, 0.548, 0.827], [0.575, 0.952, 0.827], [0.687, 0.250, 0.125], [0.711, 0.750, 0.159], [0.789, 0.250, 0.659], [0.813, 0.750, 0.625], [0.925, 0.048, 0.327], [0.925, 0.452, 0.327], [0.994, 0.750, 0.062]]
}

{
  "formula": "TlHgRhPb2",
  "functional": "GGA-PBEsol",
  "state": "optimized geometry",
  "formation_enthalpy_0k_kj_per_mol_fu": 563,
  "n_ef_per_ev_atom": 1.4480,
  "magmom_total_mub_per_fu": 0.16,
  "lattice_angstrom": [[5.499, 0.000, 0.000], [0.000, 5.499, 0.000], [0.000, 0.000, 5.288]],
  "species": ["Tl", "Hg", "Rh", "Pb", "Pb"],
  "frac_coords": [[0.000, 0.000, 0.000], [0.000, 0.000, 0.500], [0.500, 0.500, 0.000], [0.000, 0.500, 0.500], [0.500, 0.000, 0.500]]
}

{
  "formula": "TcSeSCl2",
  "functional": "GGA-PBEsol",
  "state": "optimized geometry",
  "n_ef_per_ev_atom": 0.7947,
  "formation_energy_uncorrected_kj_per_mol_fu": 100,
  "magmom_total_mub_per_fu": 0.00,
  "lattice_angstrom": [[4.646, 0.000, 0.000], [0.000, 4.646, 0.000], [0.000, 0.000, 4.525]],
  "species": ["Tc", "Se", "S", "Cl", "Cl"],
  "frac_coords": [[0.000, 0.000, 0.000], [0.500, 0.500, 0.500], [0.000, 0.000, 0.500], [0.000, 0.500, 0.000], [0.500, 0.000, 0.000]]
}

{
  "formula": "K2AgMo",
  "functional": "GGA-PBEsol",
  "state": "optimized geometry",
  "formation_enthalpy_0k_kj_per_mol_fu": 552,
  "n_ef_per_ev_atom": 0.2434,
  "magmom_total_mub_per_fu": 5.14,
  "lattice_angstrom": [[8.067, 0.000, 0.000], [0.000, 8.067, 0.000], [0.000, 0.000, 8.067]],
  "species": ["K", "K", "K", "K", "K", "K", "K", "K", "Ag", "Ag", "Ag", "Ag", "Mo", "Mo", "Mo", "Mo"],
  "frac_coords": [[0.250, 0.250, 0.250], [0.250, 0.250, 0.750], [0.250, 0.750, 0.250], [0.250, 0.750, 0.750], [0.750, 0.250, 0.250], [0.750, 0.250, 0.750], [0.750, 0.750, 0.250], [0.750, 0.750, 0.750], [0.000, 0.000, 0.000], [0.000, 0.500, 0.500], [0.500, 0.000, 0.500], [0.500, 0.500, 0.000], [0.000, 0.000, 0.500], [0.000, 0.500, 0.000], [0.500, 0.000, 0.000], [0.500, 0.500, 0.500]]
}

{
  "formula": "ZrGePt3",
  "functional": "GGA-PBEsol",
  "state": "optimized geometry",
  "formation_enthalpy_0k_kj_per_mol_fu": 418,
  "n_ef_per_ev_atom": 0.4842,
  "magmom_total_mub_per_fu": 0.00,
  "lattice_angstrom": [[4.883, 0.000, 0.000], [0.000, 4.883, 0.000], [0.000, 0.000, 4.883]],
  "species": ["Zr", "Ge", "Pt", "Pt", "Pt"],
  "frac_coords": [[0.000, 0.000, 0.000], [0.500, 0.500, 0.500], [0.000, 0.000, 0.500], [0.000, 0.500, 0.000], [0.500, 0.000, 0.000]]
}

{
  "formula": "Re2AuBr",
  "functional": "GGA-PBEsol",
  "state": "optimized geometry",
  "n_ef_per_ev_atom": 0.5440,
  "formation_energy_uncorrected_kj_per_mol_fu": 469,
  "magmom_total_mub_per_fu": 0.00,
  "lattice_angstrom": [[4.165, 0.000, 0.000], [0.000, 4.165, 0.000], [0.000, 0.000, 7.427]],
  "species": ["Re", "Re", "Re", "Re", "Au", "Au", "Br", "Br"],
  "frac_coords": [[0.000, 0.000, 0.000], [0.000, 0.500, 0.250], [0.500, 0.000, 0.750], [0.500, 0.500, 0.500], [0.000, 0.000, 0.500], [0.500, 0.500, 0.000], [0.000, 0.500, 0.750], [0.500, 0.000, 0.250]]
}

{
  "formula": "CrRuRh2",
  "functional": "GGA-PBEsol",
  "state": "optimized geometry",
  "formation_enthalpy_0k_kj_per_mol_fu": 3,
  "n_ef_per_ev_atom": 1.0667,
  "magmom_total_mub_per_fu": 0.94,
  "lattice_angstrom": [[2.634, 0.000, 0.000], [0.000, 3.734, 0.000], [0.000, 0.000, 5.256]],
  "species": ["Cr", "Ru", "Rh", "Rh"],
  "frac_coords": [[0.000, 0.000, 0.000], [0.000, 0.000, 0.500], [0.500, 0.500, 0.246], [0.500, 0.500, 0.754]]
}

{
  "formula": "In2ReAs",
  "functional": "GGA-PBEsol",
  "state": "optimized geometry",
  "formation_enthalpy_0k_kj_per_mol_fu": 289,
  "n_ef_per_ev_atom": 1.1718,
  "magmom_total_mub_per_fu": 0.00,
  "lattice_angstrom": [[6.661, 0.000, 0.000], [0.000, 6.661, 0.000], [0.000, 0.000, 6.661]],
  "species": ["In", "In", "In", "In", "In", "In", "In", "In", "Re", "Re", "Re", "Re", "As", "As", "As", "As"],
  "frac_coords": [[0.000, 0.000, 0.000], [0.000, 0.500, 0.500], [0.250, 0.250, 0.250], [0.250, 0.750, 0.750], [0.500, 0.000, 0.500], [0.500, 0.500, 0.000], [0.750, 0.250, 0.750], [0.750, 0.750, 0.250], [0.250, 0.250, 0.750], [0.250, 0.750, 0.250], [0.750, 0.250, 0.250], [0.750, 0.750, 0.750], [0.000, 0.000, 0.500], [0.000, 0.500, 0.000], [0.500, 0.000, 0.000], [0.500, 0.500, 0.500]]
}

{
  "formula": "Cr3Se2",
  "functional": "GGA-PBEsol",
  "state": "optimized geometry",
  "n_ef_per_ev_atom": 0.7893,
  "formation_energy_uncorrected_kj_per_mol_fu": 87,
  "magmom_total_mub_per_fu": 0.00,
  "lattice_angstrom": [[2.969, 0.000, 0.000], [-1.484, 2.571, 0.000], [0.000, 0.000, 27.522]],
  "species": ["Cr", "Cr", "Cr", "Cr", "Cr", "Cr", "Cr", "Cr", "Cr", "Se", "Se", "Se", "Se", "Se", "Se"],
  "frac_coords": [[0.000, 0.000, 0.000], [0.000, 0.000, 0.193], [0.000, 0.000, 0.807], [0.333, 0.667, 0.474], [0.333, 0.667, 0.667], [0.333, 0.667, 0.859], [0.667, 0.333, 0.141], [0.667, 0.333, 0.333], [0.667, 0.333, 0.526], [0.000, 0.000, 0.396], [0.000, 0.000, 0.604], [0.333, 0.667, 0.062], [0.333, 0.667, 0.271], [0.667, 0.333, 0.729], [0.667, 0.333, 0.938]]
}

{
  "formula": "BaY3I",
  "functional": "GGA-PBEsol",
  "state": "optimized geometry",
  "n_ef_per_ev_atom": 0.8446,
  "formation_energy_uncorrected_kj_per_mol_fu": 457,
  "magmom_total_mub_per_fu": 0.00,
  "lattice_angstrom": [[5.742, 0.000, 0.000], [0.000, 5.742, 0.000], [0.000, 0.000, 5.742]],
  "species": ["Ba", "Y", "Y", "Y", "I"],
  "frac_coords": [[0.000, 0.000, 0.000], [0.000, 0.000, 0.500], [0.000, 0.500, 0.000], [0.500, 0.000, 0.000], [0.500, 0.500, 0.500]]
}

{
  "formula": "Ga2FeNi9",
  "functional": "GGA-PBEsol",
  "state": "optimized geometry",
  "formation_enthalpy_0k_kj_per_mol_fu": -280,
  "n_ef_per_ev_atom": 0.8743,
  "magmom_total_mub_per_fu": 5.88,
  "lattice_angstrom": [[3.514, 0.000, 0.000], [0.000, 3.514, 0.000], [0.000, 0.000, 10.513]],
  "species": ["Ga", "Ga", "Fe", "Ni", "Ni", "Ni", "Ni", "Ni", "Ni", "Ni", "Ni", "Ni"],
  "frac_coords": [[0.000, 0.000, 0.167], [0.000, 0.000, 0.833], [0.000, 0.000, 0.500], [0.000, 0.500, 0.000], [0.000, 0.500, 0.338], [0.000, 0.500, 0.662], [0.500, 0.000, 0.000], [0.500, 0.000, 0.338], [0.500, 0.000, 0.662], [0.500, 0.500, 0.168], [0.500, 0.500, 0.500], [0.500, 0.500, 0.832]]
}

{
  "formula": "Pb4SeBr6",
  "functional": "GGA-PBEsol",
  "state": "optimized geometry",
  "n_ef_per_ev_atom": 0.0000,
  "formation_energy_uncorrected_kj_per_mol_fu": -822,
  "magmom_total_mub_per_fu": 0.00,
  "lattice_angstrom": [[-2.164, 7.688, 4.892], [2.164, -7.688, 4.892], [2.164, 7.688, -4.892]],
  "species": ["Pb", "Pb", "Pb", "Pb", "Se", "Br", "Br", "Br", "Br", "Br", "Br"],
  "frac_coords": [[0.000, 0.000, 0.000], [0.472, 0.235, 0.237], [0.480, 0.980, 0.500], [0.998, 0.235, 0.763], [0.293, 0.293, 0.000], [0.177, 0.541, 0.637], [0.245, 0.937, 0.309], [0.595, 0.716, 0.879], [0.628, 0.937, 0.691], [0.836, 0.716, 0.121], [0.904, 0.541, 0.363]]
}